Density functional theory data (PBE) for a relaxed structure of Ba3Y2ThBi6.

It has space group C2/m (No. 12), with a = 8.168 Å, b = 14.151 Å, c = 8.565 Å, α = 90.00°, β = 108.54° and γ = 90.00°. The inequivalent atoms are Ba at (0.000, 0.000, 0.000), Ba at (0.000, 0.334, 0.000), Y at (0.000, 0.167, 0.500), Th at (0.000, 0.500, 0.500), Bi at (0.235, 0.000, 0.714) and Bi at (0.240, 0.332, 0.715).

The value obtained for the energy is -0.1804 Ha/atom. As for the energy relative to the elements: -18.28 kcal/mol of atoms. The spin magnetization comes out at 0.00 μB/f.u. For the volume, the calculation gives 938.6 Å³ per cell.

=====

Density functional theory data (PBE) for a relaxed structure of BaTi2Bi2.

It has space group P4/mbm (No. 127), with a = 8.853 Å, b = 8.853 Å, c = 3.576 Å, α = 90.00°, β = 90.00° and γ = 90.00°. The inequivalent atoms are Ba at (0.000, 0.000, 0.000), Ti at (0.119, 0.381, 0.500) and Bi at (0.152, 0.652, 0.000).

The energy above the lowest structure with this stoichiometry comes out at 0.359 eV per atom. The value obtained for the energy is -0.1869 Ha/atom. As for the energy relative to the elements: 0.22 kcal/mol of atoms. The spin magnetization comes out at 2.59 μB/f.u. For the volume, the calculation gives 280.2 Å³ per cell.

=====

Density functional theory data (PBE) for a relaxed structure of BaTi3Bi.

It has space group Pm-3m (No. 221), with a = 5.357 Å, b = 5.357 Å, c = 5.357 Å, α = 90.00°, β = 90.00° and γ = 90.00°. The inequivalent atoms are Ba at (0.000, 0.000, 0.000), Ti at (0.000, 0.500, 0.500) and Bi at (0.500, 0.500, 0.500).

The energy above the lowest structure with this stoichiometry comes out at 0.000 eV per atom. The value obtained for the energy is -0.1825 Ha/atom. As for the energy relative to the elements: 21.50 kcal/mol of atoms. The spin magnetization comes out at 0.00 μB/f.u. For the volume, the calculation gives 153.7 Å³ per cell.

=====

Which value of energy does entry 3 give? -0.1825 Ha/atom

=====

Which of these has the highest energy? Ba3Y2ThBi6

=====

Look up the volume of the third one. 153.7 Å³ per cell